Record 1
Ac2ZrSb4Pd3 | GGA-PBE | optimized geometry

Cell and atoms, written as POSCAR:
```
Ac2ZrSb4Pd3
1.0
-0.469 -1.373 -4.444
3.857 -2.612 0.400
-6.422 -8.955 3.444
Ac Zr Sb Pd
2 1 4 3
direct
0.500 0.000 0.236
0.000 0.500 0.764
0.500 0.500 0.500
0.500 0.500 0.000
0.000 0.000 0.000
0.500 0.000 0.643
0.000 0.500 0.357
0.000 0.000 0.500
0.500 0.000 0.875
0.000 0.500 0.125
```

Total moment = 0.0 μB per formula unit
Formation energy from raw total energies = -0.83 eV/atom
Electronic total energy = -5.710 eV per atom

Record 2
ScVCr2 | GGA-PBE | optimized geometry

Cell and atoms, written as POSCAR:
```
ScVCr2
1.0
0.000 3.123 3.123
3.123 0.000 3.123
3.123 3.123 0.000
Sc Cr V
1 2 1
direct
0.000 0.000 0.000
0.250 0.250 0.250
0.750 0.750 0.750
0.500 0.500 0.500
```

Total moment = 3.5 μB per formula unit
Electronic total energy = -8.430 eV per atom
Formation energy = 0.24 eV per atom

Record 3
KSrTl2 | GGA-PBE | optimized geometry

Cell and atoms, written as POSCAR:
```
KSrTl2
1.0
6.091 -0.070 0.000
1.419 5.924 0.000
-3.755 -2.927 3.800
K Sr Tl
1 1 2
direct
0.500 0.500 0.000
0.750 0.250 0.500
0.000 0.000 0.000
0.250 0.750 0.500
```

Total moment = 0.0 μB per formula unit
Electronic total energy = -1.995 eV per atom
Formation energy = -0.12 eV per atom

Record 4
CaTbYHo | GGA-PBE | optimized geometry

Cell and atoms, written as POSCAR:
```
CaTbYHo
1.0
-0.057 -5.357 2.085
3.320 -1.373 4.488
-2.386 -1.067 5.120
Y Ca Tb Ho
1 1 1 1
direct
0.750 0.750 0.750
0.000 0.000 0.000
0.250 0.250 0.250
0.500 0.500 0.500
```

Total moment = 0.0 μB per formula unit
Electronic total energy = -4.254 eV per atom
Formation energy = 0.16 eV per atom

Copy entry 3 word for word.
KSrTl2 | GGA-PBE | optimized geometry

Cell and atoms, written as POSCAR:
```
KSrTl2
1.0
6.091 -0.070 0.000
1.419 5.924 0.000
-3.755 -2.927 3.800
K Sr Tl
1 1 2
direct
0.500 0.500 0.000
0.750 0.250 0.500
0.000 0.000 0.000
0.250 0.750 0.500
```

Total moment = 0.0 μB per formula unit
Electronic total energy = -1.995 eV per atom
Formation energy = -0.12 eV per atom